This record from the Alexandria database describes a relaxed structure of FePd6Au2. The functional is GGA-PBE.

Cell and atoms, written as extended XYZ:
```
9
Lattice="3.9804 0.0000 0.0000 1.9902 4.4252 -0.0471 1.9902 1.9242 7.9837" Properties=species:S:1:pos:R:3 pbc="T T T"
Au 3.9804 2.2683 2.2202
Fe 1.9902 3.1747 3.9683
Pd 5.9706 5.0253 7.5067
Au 3.9804 4.0811 5.7164
Pd 3.9804 4.9144 3.0884
Pd 3.9804 1.4350 4.8482
Pd 1.9902 1.3241 0.4298
Pd 1.9902 2.3451 6.6060
Pd 5.9706 4.0043 1.3306
```

Results
As for the final energy: -46.82 eV/cell. The calculation puts the formation energy at -0.071 eV/atom. For the offset from the most stable computed form, the calculation gives 0 meV/atom. For the density of states at the Fermi level, the calculation gives 0.82 states/eV per atom. Its space group is C2/m, No. 12.